Entry 1:
Below is a geometry-optimized K2Pb2SeS2 structure, with properties calculated at the PBE level.

The structure in POSCAR format:
```
K2Pb2SeS2
1.0
-0.886 4.284 0.831
0.176 0.863 7.633
7.540 0.995 2.991
Pb S K Se
2 2 2 1
direct
0.790 0.418 0.719 Pb
0.210 0.582 0.281 Pb
0.150 0.699 0.551 S
0.850 0.301 0.449 S
0.470 0.058 0.265 K
0.530 0.942 0.735 K
0.000 0.000 0.000 Se
```

Magnetic moment (μB/cell): 0.00
Crystal system: triclinic
Formation energy from raw total energies (eV/atom): -0.741

Entry 2:
Below is a geometry-optimized LiZrRhPb structure, with properties calculated at the PBE level.

The structure in POSCAR format:
```
LiZrRhPb
1.0
-3.271 -2.539 2.103
1.193 -3.075 3.269
-1.065 0.809 4.447
Zr Rh Pb Li
1 1 1 1
direct
0.500 0.500 0.500 Zr
0.750 0.750 0.750 Rh
0.000 0.000 0.000 Pb
0.250 0.250 0.250 Li
```

Magnetic moment (μB/cell): 0.00
Crystal system: cubic
Energy of formation (eV per atom): -0.521

Entry 3:
Below is a geometry-optimized TlCrBi2 structure, with properties calculated at the PBE level.

The structure in POSCAR format:
```
TlCrBi2
1.0
0.000 3.795 3.795
3.795 0.000 3.795
3.795 3.795 0.000
Tl Cr Bi
1 1 2
direct
0.500 0.500 0.500 Tl
0.000 0.000 0.000 Cr
0.750 0.750 0.750 Bi
0.250 0.250 0.250 Bi
```

Energy above the most stable polymorph in this dataset (eV per formula unit): 0.00
Magnetic moment (μB/cell): 3.52
Crystal system: cubic
Energy of formation (eV per atom): 0.430

Entry 4:
Below is a geometry-optimized Nd5Dy6 structure, with properties calculated at the PBE level.

The structure in POSCAR format:
```
Nd5Dy6
1.0
-1.662 -4.659 -2.682
-4.234 -7.835 4.428
-5.157 7.187 -3.385
Nd Dy
5 6
direct
0.500 0.199 0.398 Nd
0.500 0.801 0.602 Nd
0.000 0.662 0.324 Nd
0.000 0.338 0.676 Nd
0.500 0.500 0.000 Nd
0.205 0.659 0.728 Dy
0.705 0.794 0.000 Dy
0.795 0.341 0.272 Dy
0.295 0.206 0.000 Dy
0.795 0.069 0.728 Dy
0.205 0.931 0.272 Dy
```

Energy above the most stable polymorph in this dataset (eV per formula unit): 0.00
Magnetic moment (μB/cell): 0.00
Crystal system: orthorhombic
Energy of formation (eV per atom): 0.114

Entry 5:
Below is a geometry-optimized NdEr2Sb structure, with properties calculated at the PBE level.

The structure in POSCAR format:
```
NdEr2Sb
1.0
3.994 0.000 0.000
1.997 3.459 0.000
1.997 1.153 9.560
Nd Er Sb
1 2 1
direct
0.501 0.501 0.498 Nd
0.267 0.267 0.200 Er
0.067 0.067 0.800 Er
0.666 0.666 0.001 Sb
```

Energy above the most stable polymorph in this dataset (eV per formula unit): 0.93
Magnetic moment (μB/cell): 0.54
Crystal system: trigonal
Formation energy from raw total energies (eV/atom): -0.324

Entry 6:
Below is a geometry-optimized HgSeS2 structure, with properties calculated at the PBE level.

The structure in POSCAR format:
```
HgSeS2
1.0
0.000 3.387 3.387
3.387 0.000 3.387
3.387 3.387 0.000
S Hg Se
2 1 1
direct
0.250 0.250 0.250 S
0.750 0.750 0.750 S
0.500 0.500 0.500 Hg
0.000 0.000 0.000 Se
```

Energy above the most stable polymorph in this dataset (eV per formula unit): 2.64
Magnetic moment (μB/cell): 0.00
Crystal system: cubic
Formation energy from raw total energies (eV/atom): 0.697